# AgIrRh, relaxed, DFT PBE
# volume = 15.7 Å³/atom
# magnetization = 0.0 μB/cell
# energy above the lowest structure with this stoichiometry = 0.463 eV per formula unit
# SG = Imm2, No. 44
data_AgIrRh
_chemical_formula_sum 'Ag1 Ir1 Rh1'
_cell_length_a 5.047
_cell_length_b 5.047
_cell_length_c 5.047
_cell_angle_alpha 148.18
_cell_angle_beta 135.62
_cell_angle_gamma 55.64
_space_group_name_H-M_alt 'P 1'
_space_group_IT_number 1
loop_
_space_group_symop_operation_xyz
'x,y,z'
loop_
_atom_site_label
_atom_site_type_symbol
_atom_site_fract_x
_atom_site_fract_y
_atom_site_fract_z
Ag1 Ag 0.000 0.000 0.000
Ir1 Ir 0.684 0.684 0.000
Rh1 Rh 0.316 0.316 0.000


# FeOsRh2, relaxed, DFT PBE
# volume = 13.7 Å³/atom
# magnetization = 2.6 μB/cell
# energy above the lowest structure with this stoichiometry = 0.316 eV per formula unit
# SG = P4/mmm, No. 123
data_FeOsRh2
_chemical_formula_sum 'Fe1 Os1 Rh2'
_cell_length_a 3.803
_cell_length_b 3.794
_cell_length_c 3.794
_cell_angle_alpha 90.00
_cell_angle_beta 90.00
_cell_angle_gamma 90.00
_space_group_name_H-M_alt 'P 1'
_space_group_IT_number 1
loop_
_space_group_symop_operation_xyz
'x,y,z'
loop_
_atom_site_label
_atom_site_type_symbol
_atom_site_fract_x
_atom_site_fract_y
_atom_site_fract_z
Fe1 Fe 0.500 0.500 0.000
Os1 Os 0.500 0.000 0.500
Rh1 Rh 0.000 0.000 0.000
Rh2 Rh 0.000 0.500 0.500


energy above the lowest structure with this stoichiometry of number 2 (FeOsRh2)? 0.316 eV per formula unit


What did the first record say?
# AgIrRh, relaxed, DFT PBE
# volume = 15.7 Å³/atom
# magnetization = 0.0 μB/cell
# energy above the lowest structure with this stoichiometry = 0.463 eV per formula unit
# SG = Imm2, No. 44
data_AgIrRh
_chemical_formula_sum 'Ag1 Ir1 Rh1'
_cell_length_a 5.047
_cell_length_b 5.047
_cell_length_c 5.047
_cell_angle_alpha 148.18
_cell_angle_beta 135.62
_cell_angle_gamma 55.64
_space_group_name_H-M_alt 'P 1'
_space_group_IT_number 1
loop_
_space_group_symop_operation_xyz
'x,y,z'
loop_
_atom_site_label
_atom_site_type_symbol
_atom_site_fract_x
_atom_site_fract_y
_atom_site_fract_z
Ag1 Ag 0.000 0.000 0.000
Ir1 Ir 0.684 0.684 0.000
Rh1 Rh 0.316 0.316 0.000


Which of these has the highest magnetization? FeOsRh2